First-principles (GGA-PBE) data for a geometry-optimized LaReSe2 structure, as listed in the Alexandria database.

Structure (CIF):
```
data_LaReSe2
_chemical_formula_sum 'La4 Re4 Se8'
_symmetry_space_group_name_H-M 'I -4 2 d'
_symmetry_Int_Tables_number 122
_symmetry_space_group_name_Hall 'I -4 2bw'
_cell_length_a 5.500
_cell_length_b 5.500
_cell_length_c 14.363
_cell_angle_alpha 90.00
_cell_angle_beta 90.00
_cell_angle_gamma 90.00
loop_
_atom_site_label
_atom_site_type_symbol
_atom_site_fract_x
_atom_site_fract_y
_atom_site_fract_z
La1 La 0.000 0.000 0.000
Re1 Re 0.000 0.000 0.500
Se1 Se 0.166 0.250 0.625
```



First-principles (GGA-PBE) data for a geometry-optimized LaReSe2 structure, as listed in the Alexandria database.

Structure (CIF):
```
data_LaReSe2
_chemical_formula_sum 'La1 Re1 Se2'
_symmetry_space_group_name_H-M 'P 1 2/m 1'
_symmetry_Int_Tables_number 10
_cell_length_a 3.815
_cell_length_b 4.088
_cell_length_c 5.786
_cell_angle_alpha 90.00
_cell_angle_beta 95.91
_cell_angle_gamma 90.00
loop_
_symmetry_equiv_pos_as_xyz
'x,y,z'
'-x,-y,-z'
'-x,y,-z'
'x,-y,z'
loop_
_atom_site_label
_atom_site_type_symbol
_atom_site_fract_x
_atom_site_fract_y
_atom_site_fract_z
La1 La 0.000 0.000 0.000
Re1 Re 0.500 0.000 0.500
Se1 Se 0.362 0.500 0.725
```



| no. | ΔE_f (raw) (eV per atom) |
| --- | --- |
| 1 | -0.33 |
| 2 | -0.45 |